Record 1
Entry from the Alexandria database: a relaxed PrThGa2 crystal (PBE-GGA).

Energy above the lowest structure with this stoichiometry = 244 meV per atom
SG = R-3m (166)
E_form = -0.297 eV per atom

Lattice parameters (Å, degrees): 3.834 3.834 9.086 77.82 77.82 60.00
Fractional positions:
1 Ga 0.250 0.250 0.250
2 Ga 0.750 0.750 0.750
3 Th 0.500 0.500 0.500
4 Pr 0.000 0.000 0.000


Record 2
Entry from the Alexandria database: a relaxed PrThGa3 crystal (PBE-GGA).

SG = Cmcm (63)
E_form = -0.619 eV per atom

Lattice parameters (Å, degrees): 4.221 4.367 13.358 99.41 90.00 90.00
Fractional positions:
1 Ga 0.250 0.674 0.347
2 Ga 0.250 0.476 0.953
3 Ga 0.750 0.326 0.653
4 Th 0.250 0.795 0.590
5 Pr 0.250 0.072 0.144
6 Ga 0.250 0.382 0.764
7 Ga 0.750 0.524 0.047
8 Th 0.750 0.205 0.410
9 Ga 0.750 0.618 0.236
10 Pr 0.750 0.928 0.856


Record 3
Entry from the Alexandria database: a relaxed Pr2ThGa4 crystal (PBE-GGA).

SG = Immm (71)
E_form = -0.619 eV per atom

Lattice parameters (Å, degrees): 4.212 4.374 9.985 102.65 102.18 90.00
Fractional positions:
1 Ga 0.065 0.565 0.130
2 Ga 0.935 0.435 0.870
3 Pr 0.816 0.816 0.632
4 Ga 0.640 0.640 0.280
5 Ga 0.360 0.360 0.720
6 Pr 0.184 0.184 0.368
7 Th 0.500 0.000 0.000


Record 4
Entry from the Alexandria database: a relaxed PrThGa2 crystal (PBE-GGA).

Energy above the lowest structure with this stoichiometry = 71 meV per atom
SG = P4/mmm (123)
E_form = -0.470 eV per atom

Lattice parameters (Å, degrees): 3.488 3.488 8.329 90.00 90.00 90.00
Fractional positions:
1 Th 0.500 0.500 0.000
2 Ga 0.000 0.000 0.750
3 Pr 0.500 0.500 0.500
4 Ga 0.000 0.000 0.250


Record 5
Entry from the Alexandria database: a relaxed PrThGa crystal (PBE-GGA).

Energy above the lowest structure with this stoichiometry = 0 meV per atom
SG = I4mm (107)
E_form = -0.233 eV per atom

Lattice parameters (Å, degrees): 3.698 3.698 6.846 105.67 105.67 90.00
Fractional positions:
1 Th 0.312 0.312 0.624
2 Ga 0.668 0.668 0.336
3 Pr 0.020 0.020 0.040


Record 6
Entry from the Alexandria database: a relaxed PrThGa4 crystal (PBE-GGA).

Energy above the lowest structure with this stoichiometry = 0 meV per atom
SG = I-4m2 (119)
E_form = -0.666 eV per atom

Lattice parameters (Å, degrees): 4.282 4.282 8.028 105.47 105.47 90.00
Fractional positions:
1 Pr 0.250 0.750 0.500
2 Th 0.000 0.000 0.000
3 Ga 0.833 0.333 0.666
4 Ga 0.417 0.417 0.835
5 Ga 0.667 0.167 0.334
6 Ga 0.583 0.583 0.165


Record 7
Entry from the Alexandria database: a relaxed Pr5ThGa5 crystal (PBE-GGA).

SG = C2/m (12)
E_form = -0.282 eV per atom

Lattice parameters (Å, degrees): 5.895 8.386 6.982 99.10 90.00 110.58
Fractional positions:
1 Ga 0.500 0.000 0.000
2 Pr 0.641 0.283 0.396
3 Th 0.000 0.000 0.000
4 Pr 0.317 0.634 0.099
5 Ga 0.167 0.334 0.318
6 Ga 0.833 0.666 0.682
7 Ga 0.178 0.356 0.720
8 Ga 0.822 0.644 0.280
9 Pr 0.683 0.366 0.901
10 Pr 0.359 0.717 0.604
11 Pr 0.000 0.000 0.500


Record 8
Entry from the Alexandria database: a relaxed PrThGa crystal (PBE-GGA).

Energy above the lowest structure with this stoichiometry = 135 meV per atom
SG = P3m1 (156)
E_form = -0.098 eV per atom

Lattice parameters (Å, degrees): 3.938 5.012 5.012 120.00 90.00 90.00
Fractional positions:
1 Pr 0.614 0.667 0.333
2 Th 0.050 0.000 0.000
3 Ga 0.336 0.333 0.667


Record 9
Entry from the Alexandria database: a relaxed PrThGa4 crystal (PBE-GGA).

Energy above the lowest structure with this stoichiometry = 179 meV per atom
SG = F-43m (216)
E_form = -0.487 eV per atom

Lattice parameters (Å, degrees): 5.673 5.673 5.673 60.00 60.00 60.00
Fractional positions:
1 Pr 0.250 0.250 0.250
2 Ga 0.625 0.625 0.625
3 Ga 0.625 0.124 0.625
4 Ga 0.625 0.625 0.124
5 Th 0.000 0.000 0.000
6 Ga 0.124 0.625 0.625


Record 10
Entry from the Alexandria database: a relaxed PrThTlGa crystal (PBE-GGA).

SG = F-43m (216)
E_form = -0.290 eV per atom

Lattice parameters (Å, degrees): 5.412 5.412 5.412 60.00 60.00 60.00
Fractional positions:
1 Pr 0.500 0.500 0.500
2 Tl 0.750 0.750 0.750
3 Th 0.000 0.000 0.000
4 Ga 0.250 0.250 0.250


Record 11
Entry from the Alexandria database: a relaxed Pr2ThZn2Ga2 crystal (PBE-GGA).

SG = R-3m (166)
E_form = -0.354 eV per atom

Lattice parameters (Å, degrees): 4.434 4.434 10.440 77.74 77.74 60.00
Fractional positions:
1 Pr 0.873 0.873 0.381
2 Zn 0.604 0.604 0.188
3 Th 0.000 0.000 0.000
4 Zn 0.396 0.396 0.812
5 Ga 0.266 0.266 0.201
6 Ga 0.734 0.734 0.799
7 Pr 0.127 0.127 0.619


Record 12
Entry from the Alexandria database: a relaxed PrTiGa crystal (PBE-GGA).

SG = Amm2 (38)
E_form = 0.080 eV per atom

Lattice parameters (Å, degrees): 3.264 3.260 14.880 90.00 90.00 120.04
Fractional positions:
1 Ga 0.279 0.557 0.500
2 Pr 0.277 0.554 0.817
3 Ti 0.612 0.224 0.361
4 Ti 0.612 0.224 0.639
5 Ga 0.611 0.221 0.000
6 Pr 0.277 0.554 0.183